Entry 1:
# GaPbNO2 PBE-GGA optimized geometry
data_GaPbNO2
_cell_length_a 4.032
_cell_length_b 4.032
_cell_length_c 3.990
_cell_angle_alpha 90.00
_cell_angle_beta 90.00
_cell_angle_gamma 90.00
_symmetry_space_group_name_H-M 'P 1'
_symmetry_Int_Tables_number 1
loop_
_symmetry_equiv_pos_as_xyz
'x,y,z'
loop_
_atom_site_label
_atom_site_type_symbol
_atom_site_fract_x
_atom_site_fract_y
_atom_site_fract_z
Ga1 Ga 0.000 0.000 0.000
Pb1 Pb 0.500 0.500 0.500
N1 N 0.000 0.000 0.500
O1 O 0.000 0.500 0.000
O2 O 0.500 0.000 0.000
# * D(E_F): 1.926 states/eV/f.u.
# * volume: 64.9 Å³/cell
# * ΔE_f (raw): -0.286 eV/atom
# * space-group type: P4/mmm
# * DFT total energy: -26.4 eV per cell



Entry 2:
# Pm6Ga2NO PBE-GGA optimized geometry
data_Pm6Ga2NO
_cell_length_a 6.922
_cell_length_b 6.922
_cell_length_c 6.922
_cell_angle_alpha 60.00
_cell_angle_beta 60.00
_cell_angle_gamma 60.00
_symmetry_space_group_name_H-M 'P 1'
_symmetry_Int_Tables_number 1
loop_
_symmetry_equiv_pos_as_xyz
'x,y,z'
loop_
_atom_site_label
_atom_site_type_symbol
_atom_site_fract_x
_atom_site_fract_y
_atom_site_fract_z
Pm1 Pm 0.248 0.248 0.752
Pm2 Pm 0.248 0.752 0.248
Pm3 Pm 0.248 0.752 0.752
Pm4 Pm 0.752 0.248 0.248
Pm5 Pm 0.752 0.248 0.752
Pm6 Pm 0.752 0.752 0.248
Ga1 Ga 0.250 0.250 0.250
Ga2 Ga 0.750 0.750 0.750
N1 N 0.000 0.000 0.000
O1 O 0.500 0.500 0.500
# * D(E_F): 2.665 states/eV/f.u.
# * volume: 234.5 Å³/cell
# * ΔE_f (raw): -1.137 eV/atom
# * space-group type: Fm-3m
# * DFT total energy: -59.2 eV per cell



Entry 3:
# PrGaNO PBE-GGA optimized geometry
data_PrGaNO
_cell_length_a 3.406
_cell_length_b 3.406
_cell_length_c 11.734
_cell_angle_alpha 90.00
_cell_angle_beta 90.00
_cell_angle_gamma 120.00
_symmetry_space_group_name_H-M 'P 1'
_symmetry_Int_Tables_number 1
loop_
_symmetry_equiv_pos_as_xyz
'x,y,z'
loop_
_atom_site_label
_atom_site_type_symbol
_atom_site_fract_x
_atom_site_fract_y
_atom_site_fract_z
Pr1 Pr 0.333 0.667 0.000
Pr2 Pr 0.667 0.333 0.500
Ga1 Ga 0.000 0.000 0.281
Ga2 Ga 0.000 0.000 0.781
N1 N 0.333 0.667 0.337
N2 N 0.667 0.333 0.837
O1 O 0.000 0.000 0.122
O2 O 0.000 0.000 0.622
# * D(E_F): 1.789 states/eV/f.u.
# * volume: 117.9 Å³/cell
# * ΔE_f (raw): -1.314 eV/atom
# * space-group type: P6_3mc
# * DFT total energy: -52.7 eV per cell



Entry 4:
# Pr5Ga2NO PBE-GGA optimized geometry
data_Pr5Ga2NO
_cell_length_a 4.706
_cell_length_b 4.706
_cell_length_c 10.647
_cell_angle_alpha 90.00
_cell_angle_beta 90.00
_cell_angle_gamma 90.00
_symmetry_space_group_name_H-M 'P 1'
_symmetry_Int_Tables_number 1
loop_
_symmetry_equiv_pos_as_xyz
'x,y,z'
loop_
_atom_site_label
_atom_site_type_symbol
_atom_site_fract_x
_atom_site_fract_y
_atom_site_fract_z
Pr1 Pr 0.000 0.000 0.000
Pr2 Pr 0.000 0.500 0.500
Pr3 Pr 0.500 0.000 0.500
Pr4 Pr 0.500 0.500 0.212
Pr5 Pr 0.500 0.500 0.788
Ga1 Ga 0.000 0.000 0.286
Ga2 Ga 0.000 0.000 0.714
N1 N 0.500 0.500 0.000
O1 O 0.500 0.500 0.500
# * D(E_F): 4.898 states/eV/f.u.
# * volume: 235.7 Å³/cell
# * ΔE_f (raw): -0.963 eV/atom
# * space-group type: P4/mmm
# * DFT total energy: -51.9 eV per cell



Entry 5:
# GaPtNO2 PBE-GGA optimized geometry
data_GaPtNO2
_cell_length_a 4.163
_cell_length_b 4.163
_cell_length_c 3.711
_cell_angle_alpha 90.00
_cell_angle_beta 90.00
_cell_angle_gamma 90.00
_symmetry_space_group_name_H-M 'P 1'
_symmetry_Int_Tables_number 1
loop_
_symmetry_equiv_pos_as_xyz
'x,y,z'
loop_
_atom_site_label
_atom_site_type_symbol
_atom_site_fract_x
_atom_site_fract_y
_atom_site_fract_z
Ga1 Ga 0.000 0.000 0.000
Pt1 Pt 0.500 0.500 0.500
N1 N 0.500 0.500 0.000
O1 O 0.000 0.500 0.500
O2 O 0.500 0.000 0.500
# * D(E_F): 1.048 states/eV/f.u.
# * volume: 64.3 Å³/cell
# * ΔE_f (raw): 0.364 eV/atom
# * space-group type: P4/mmm
# * DFT total energy: -25.5 eV per cell



Entry 6:
# GaPtNO2 PBE-GGA optimized geometry
data_GaPtNO2
_cell_length_a 3.781
_cell_length_b 3.781
_cell_length_c 4.000
_cell_angle_alpha 90.00
_cell_angle_beta 90.00
_cell_angle_gamma 90.00
_symmetry_space_group_name_H-M 'P 1'
_symmetry_Int_Tables_number 1
loop_
_symmetry_equiv_pos_as_xyz
'x,y,z'
loop_
_atom_site_label
_atom_site_type_symbol
_atom_site_fract_x
_atom_site_fract_y
_atom_site_fract_z
Ga1 Ga 0.000 0.000 0.000
Pt1 Pt 0.500 0.500 0.500
N1 N 0.000 0.000 0.500
O1 O 0.000 0.500 0.000
O2 O 0.500 0.000 0.000
# * D(E_F): 3.433 states/eV/f.u.
# * volume: 57.2 Å³/cell
# * ΔE_f (raw): 0.581 eV/atom
# * space-group type: P4/mmm
# * DFT total energy: -24.4 eV per cell



Which formula does entry 1 have?
GaPbNO2



Copy entry 4 word for word.
# Pr5Ga2NO PBE-GGA optimized geometry
data_Pr5Ga2NO
_cell_length_a 4.706
_cell_length_b 4.706
_cell_length_c 10.647
_cell_angle_alpha 90.00
_cell_angle_beta 90.00
_cell_angle_gamma 90.00
_symmetry_space_group_name_H-M 'P 1'
_symmetry_Int_Tables_number 1
loop_
_symmetry_equiv_pos_as_xyz
'x,y,z'
loop_
_atom_site_label
_atom_site_type_symbol
_atom_site_fract_x
_atom_site_fract_y
_atom_site_fract_z
Pr1 Pr 0.000 0.000 0.000
Pr2 Pr 0.000 0.500 0.500
Pr3 Pr 0.500 0.000 0.500
Pr4 Pr 0.500 0.500 0.212
Pr5 Pr 0.500 0.500 0.788
Ga1 Ga 0.000 0.000 0.286
Ga2 Ga 0.000 0.000 0.714
N1 N 0.500 0.500 0.000
O1 O 0.500 0.500 0.500
# * D(E_F): 4.898 states/eV/f.u.
# * volume: 235.7 Å³/cell
# * ΔE_f (raw): -0.963 eV/atom
# * space-group type: P4/mmm
# * DFT total energy: -51.9 eV per cell



What is the formula in the fourth record?
Pr5Ga2NO



Among the records above, which one has the highest ΔE_f (raw)?
number 6